(1)
Density functional theory data (PBE) for a relaxed structure of SrCa4Pa3N8.

Calculated values
Density of states at the Fermi level in states/eV/atom: 0.41

The structure in CIF format:
```
data_SrCa4Pa3N8
_space_group_name_H-M_alt 'R -3 m'
_space_group_IT_number 166
_space_group_name_Hall '-R 3 2"'
_cell_length_a 7.1825
_cell_length_b 7.1825
_cell_length_c 17.1122
_cell_angle_alpha 90.00
_cell_angle_beta 90.00
_cell_angle_gamma 120.00
loop_
_atom_site_label
_atom_site_fract_x
_atom_site_fract_y
_atom_site_fract_z
Sr1 0.0000 0.0000 0.0000
Ca1 0.0000 0.0000 0.5000
Ca2 0.0000 0.5000 0.5000
Pa1 0.0000 0.5000 0.0000
N1 0.0000 0.0000 0.2600
N2 0.0317 0.5158 0.2617
```

(2)
Density functional theory data (PBE) for a relaxed structure of Sr2CaPaN4.

Calculated values
Density of states at the Fermi level in states/eV/atom: 0.78

The structure in CIF format:
```
data_Sr2CaPaN4
_space_group_name_H-M_alt 'P 1 2/m 1'
_space_group_IT_number 10
_cell_length_a 6.133
_cell_length_b 3.685
_cell_length_c 6.289
_cell_angle_alpha 90.00
_cell_angle_beta 107.81
_cell_angle_gamma 90.00
loop_
_space_group_symop_operation_xyz
'x,y,z'
'-x,-y,-z'
'-x,y,-z'
'x,-y,z'
loop_
_atom_site_label
_atom_site_fract_x
_atom_site_fract_y
_atom_site_fract_z
Sr1 0.000 0.000 0.000
Sr2 0.500 0.500 0.000
Ca1 0.000 0.500 0.500
Pa1 0.500 0.000 0.500
N1 0.277 0.000 0.708
N2 0.279 0.500 0.288
```

(3)
Density functional theory data (PBE) for a relaxed structure of Ca3Pa2TaN6.

Calculated values
Density of states at the Fermi level in states/eV/atom: 0.52

The structure in CIF format:
```
data_Ca3Pa2TaN6
_space_group_name_H-M_alt 'C 1 2/m 1'
_space_group_IT_number 12
_cell_length_a 5.936
_cell_length_b 10.281
_cell_length_c 5.983
_cell_angle_alpha 90.00
_cell_angle_beta 109.22
_cell_angle_gamma 90.00
loop_
_space_group_symop_operation_xyz
'x,y,z'
'-x,-y,-z'
'-x,y,-z'
'x,-y,z'
'x+1/2,y+1/2,z'
'-x+1/2,-y+1/2,-z'
'-x+1/2,y+1/2,-z'
'x+1/2,-y+1/2,z'
loop_
_atom_site_label
_atom_site_fract_x
_atom_site_fract_y
_atom_site_fract_z
Ca1 0.000 0.000 0.000
Ca2 0.000 0.338 0.000
Pa1 0.000 0.167 0.500
Ta1 0.000 0.500 0.500
N1 0.230 0.340 0.713
N2 0.250 0.000 0.714
```

(4)
Density functional theory data (PBE) for a relaxed structure of CaPaTaN4.

Calculated values
Density of states at the Fermi level in states/eV/atom: 0.09

The structure in CIF format:
```
data_CaPaTaN4
_space_group_name_H-M_alt 'C m c m'
_space_group_IT_number 63
_space_group_name_Hall '-C 2c 2'
_cell_length_a 5.712
_cell_length_b 12.260
_cell_length_c 5.650
_cell_angle_alpha 90.00
_cell_angle_beta 90.00
_cell_angle_gamma 90.00
loop_
_atom_site_label
_atom_site_fract_x
_atom_site_fract_y
_atom_site_fract_z
Ca1 0.000 0.106 0.250
Pa1 0.000 0.390 0.250
Ta1 0.000 0.233 0.750
N1 0.000 0.078 0.750
N2 0.000 0.444 0.750
N3 0.250 0.250 0.000
```

(5)
Density functional theory data (PBE) for a relaxed structure of Ca3Pa3TaN8.

Calculated values
Density of states at the Fermi level in states/eV/atom: 0.58

The structure in CIF format:
```
data_Ca3Pa3TaN8
_space_group_name_H-M_alt 'R -3 m'
_space_group_IT_number 166
_space_group_name_Hall '-R 3 2"'
_cell_length_a 6.8904
_cell_length_b 6.8904
_cell_length_c 17.1092
_cell_angle_alpha 90.00
_cell_angle_beta 90.00
_cell_angle_gamma 120.00
loop_
_atom_site_label
_atom_site_fract_x
_atom_site_fract_y
_atom_site_fract_z
Ca1 0.0000 0.5000 0.0000
Pa1 0.0000 0.5000 0.5000
Ta1 0.0000 0.0000 0.5000
N1 0.0000 0.0000 0.2435
N2 0.0209 0.5105 0.2309
```

(6)
Density functional theory data (PBE) for a relaxed structure of Ca3TbPa3N8.

The structure in CIF format:
```
data_Ca3TbPa3N8
_space_group_name_H-M_alt 'R -3 m'
_space_group_IT_number 166
_space_group_name_Hall '-R 3 2"'
_cell_length_a 7.0844
_cell_length_b 7.0844
_cell_length_c 17.0841
_cell_angle_alpha 90.00
_cell_angle_beta 90.00
_cell_angle_gamma 120.00
loop_
_atom_site_label
_atom_site_fract_x
_atom_site_fract_y
_atom_site_fract_z
Ca1 0.0000 0.5000 0.0000
Tb1 0.0000 0.0000 0.5000
Pa1 0.0000 0.5000 0.5000
N1 0.0000 0.0000 0.2421
N2 0.0090 0.5045 0.7685
```

It is found that the M_tot values, taken in the order of the records, are 0.0; 0.9; 0.0; 0.0; 0.0; 0.0 μB/f.u..
It is found that the energy relative to the elements, uncorrected values, taken in the order of the records, are -1.37; -1.05; -1.37; -1.18; -1.38; -1.40 eV per atom.
It is found that the final energy values, taken in the order of the records, are -7.923; -7.075; -8.602; -9.275; -8.906; -8.446 eV per atom.